1.
BeInRe2 PBE optimized geometry; DFT formation energy = 0.529 eV/atom; energy above the most stable polymorph in this dataset = 441 meV per atom; crystal system = orthorhombic; N(E_F) = 0.653 states/eV/atom; total magnetization = 0.0000 μB/atom; uncorrected energy = -7.31 eV/atom
1.0
-1.832 -0.104 2.118
-1.042 -0.444 -2.563
1.519 -8.688 0.888
Re In Be
2 1 1
direct
0.500 0.500 0.266 Re
0.000 0.000 0.023 Re
0.500 0.500 0.735 In
0.000 0.000 0.476 Be



2.
TiNb4V PBE optimized geometry; DFT formation energy = 0.035 eV/atom; crystal system = triclinic; N(E_F) = 1.567 states/eV/atom; total magnetization = 0.0000 μB/atom; uncorrected energy = -9.51 eV/atom
1.0
-1.151 -1.605 2.588
0.881 -5.425 -0.635
6.208 -1.435 1.635
Nb Ti V
4 1 1
direct
0.833 0.823 0.662 Nb
0.166 0.166 0.828 Nb
0.836 0.824 0.176 Nb
0.168 0.167 0.342 Nb
0.501 0.495 0.002 Ti
0.501 0.495 0.502 V



3.
KTl4Hg12 PBE optimized geometry; DFT formation energy = 0.021 eV/atom; crystal system = trigonal; N(E_F) = 0.438 states/eV/atom; total magnetization = 0.0000 μB/atom; uncorrected energy = -0.81 eV/atom
1.0
8.567 0.000 -3.025
-4.288 7.445 -3.039
0.010 0.000 9.104
Hg K Tl
12 1 4
direct
0.856 0.644 0.500 Hg
0.145 0.644 0.788 Hg
0.144 0.356 0.500 Hg
0.788 0.145 0.644 Hg
0.356 0.211 0.855 Hg
0.855 0.356 0.212 Hg
0.357 0.500 0.145 Hg
0.499 0.855 0.644 Hg
0.644 0.789 0.145 Hg
0.643 0.500 0.855 Hg
0.212 0.855 0.356 Hg
0.501 0.145 0.356 Hg
0.000 0.000 0.000 K
0.500 0.500 0.500 Tl
0.000 0.500 0.000 Tl
0.500 0.000 0.000 Tl
0.000 0.000 0.500 Tl



4.
AlNiRh2 PBE optimized geometry; DFT formation energy = -0.420 eV/atom; crystal system = monoclinic; N(E_F) = 0.873 states/eV/atom; total magnetization = 0.0846 μB/atom; uncorrected energy = -6.48 eV/atom
1.0
-2.437 -0.902 3.673
-1.209 -3.234 2.884
3.153 0.519 3.375
Rh Al Ni
2 1 1
direct
0.506 0.506 0.503 Rh
0.994 0.994 0.997 Rh
0.250 0.250 0.250 Al
0.750 0.750 0.750 Ni



no.,density (Mg/m³)
1,13.20
2,7.53
3,9.33
4,9.05